(1)
DFT (PBE) results for a relaxed structure of U2Co4Ge3Ir.

Unit cell a=3.7343 b=3.7343 c=10.9441 alpha=90.00 beta=90.00 gamma=90.00
Closest atoms and distances in Å follow each position.
Atoms (fractional coordinates):
U: 0.5000 0.0000 0.2614  4 Co 2.76, 4 Ge 3.05
U: 0.0000 0.5000 0.7386  4 Co 2.76, 4 Ge 3.05
Co: 0.5000 0.5000 0.0000  4 Ge 2.30
Co: 0.0000 0.0000 0.0000  4 Ge 2.30
Co: 0.5000 0.0000 0.6664  1 Ge 2.31
Co: 0.0000 0.5000 0.3336  1 Ge 2.31
Ge: 0.0000 0.0000 0.5000  4 Co 2.61, 4 Ir 2.64
Ge: 0.5000 0.0000 0.8776  5 Co 2.30-2.31
Ge: 0.0000 0.5000 0.1224  5 Co 2.30-2.31
Ir: 0.5000 0.5000 0.5000  4 Co 2.61, 4 Ge 2.64

Calculated values
Formation energy from the elements, eV/atom: -0.324
Crystal system: tetragonal
Symmetry: P-4m2, No. 115

(2)
DFT (PBE) results for a relaxed structure of TeOs2Pb.

Unit cell a=2.9705 b=3.8676 c=7.8306 alpha=90.00 beta=90.00 gamma=90.00
Closest atoms and distances in Å follow each position.
Atoms (fractional coordinates):
Os: 0.0000 0.0000 0.0445  6 Os 2.68-2.97, 4 Te 2.91, 1 Pb 3.00
Os: 0.5000 0.5000 0.1860  6 Os 2.68-2.97, 1 Te 2.69
Pb: 0.0000 0.0000 0.4274  2 Pb 2.97, 5 Os 3.00-3.08
Te: 0.5000 0.5000 0.8421  5 Os 2.69-2.91, 2 Te 2.97

Calculated values
Formation energy from raw total energies, eV/atom: 0.6151
Crystal system: orthorhombic
Distance to the lowest polymorph of the same formula, kJ/mol of atoms: 13.0
Symmetry: Pmm2, No. 25

(3)
DFT (PBE) results for a relaxed structure of PmYUO6.

Unit cell a=5.8163 b=5.8163 c=9.6305 alpha=90.00 beta=90.00 gamma=120.00
Closest atoms and distances in Å follow each position.
Atoms (fractional coordinates):
Pm: 0.0000 0.0000 0.0000  6 O 2.42
Pm: 0.0000 0.0000 0.5000  6 O 2.42
Y: 0.3333 0.6667 0.2500  6 O 2.28
Y: 0.6667 0.3333 0.7500  6 O 2.28
U: 0.6667 0.3333 0.2500  6 O 2.10
U: 0.3333 0.6667 0.7500  6 O 2.10
O: 0.6632 0.6396 0.1363  1 U 2.10, 1 Y 2.28
O: 0.9764 0.3368 0.1363  1 U 2.10, 1 Y 2.28
O: 0.3368 0.9764 0.6363  1 U 2.10, 1 Y 2.28
O: 0.0236 0.6632 0.8637  1 U 2.10, 1 Y 2.28
O: 0.3604 0.3368 0.3637  1 U 2.10, 1 Y 2.28
O: 0.9764 0.6396 0.3637  1 U 2.10, 1 Y 2.28
O: 0.6396 0.9764 0.8637  1 U 2.10, 1 Y 2.28
O: 0.6632 0.0236 0.3637  1 U 2.10, 1 Y 2.28
O: 0.0236 0.3604 0.6363  1 U 2.10, 1 Y 2.28
O: 0.3604 0.0236 0.1363  1 U 2.10, 1 Y 2.28
O: 0.6396 0.6632 0.6363  1 U 2.10, 1 Y 2.28
O: 0.3368 0.3604 0.8637  1 U 2.10, 1 Y 2.28

Calculated values
Formation energy from raw total energies, eV/atom: -3.3281
Crystal system: trigonal
Symmetry: P-31c, No. 163

(4)
DFT (PBE) results for a relaxed structure of Tb4BiRh2.

Unit cell a=8.1159 b=8.1160 c=8.1186 alpha=110.54 beta=110.43 gamma=107.45
Closest atoms and distances in Å follow each position.
Atoms (fractional coordinates):
Tb: 0.9003 0.2169 0.3170  3 Rh 2.71-2.88
Tb: 0.3499 0.5331 0.1832  3 Rh 2.71-2.88
Tb: 0.8999 0.5833 0.6830  3 Rh 2.71-2.88
Tb: 0.7830 0.1000 0.6831  3 Rh 2.71-2.88
Tb: 0.4169 0.0999 0.3169  3 Rh 2.71-2.88
Tb: 0.3499 0.1667 0.8168  3 Rh 2.71-2.88
Tb: 0.4670 0.6504 0.8172  3 Rh 2.71-2.88
Tb: 0.8331 0.6498 0.1828  3 Rh 2.71-2.88
Bi: 0.2491 0.7491 0.5000  4 Tb 3.09
Bi: 0.0009 0.0009 0.0000  4 Tb 3.09
Rh: 0.6248 0.3750 0.7498  6 Tb 2.71-2.88
Rh: 0.6252 0.8750 0.2502  6 Tb 2.71-2.88
Rh: 0.6250 0.3749 0.2499  6 Tb 2.71-2.88
Rh: 0.1250 0.3751 0.7501  6 Tb 2.71-2.88

Calculated values
Formation energy from the elements, eV/atom: -0.577
Crystal system: orthorhombic
Symmetry: Imma, No. 74

(5)
DFT (PBE) results for a relaxed structure of MgOsRh2.

Unit cell a=2.8165 b=4.6532 c=4.5064 alpha=90.00 beta=90.00 gamma=90.00
Closest atoms and distances in Å follow each position.
Atoms (fractional coordinates):
Mg: 0.5000 0.0000 0.5000  4 Rh 2.66, 4 Os 2.72, 2 Mg 2.82
Os: 0.0000 0.5000 0.5000  4 Rh 2.66, 4 Mg 2.72, 2 Os 2.82
Rh: 0.0000 0.0000 0.0000  4 Mg 2.66, 6 Rh 2.72-2.82
Rh: 0.5000 0.5000 0.0000  4 Os 2.66, 6 Rh 2.72-2.82

Calculated values
Formation energy from the elements, eV/atom: 0.151
Crystal system: orthorhombic
Symmetry: Pmmm, No. 47

(6)
DFT (PBE) results for a relaxed structure of CeLuSe.

Unit cell a=3.5679 b=3.5679 c=6.6591 alpha=105.54 beta=105.54 gamma=90.00
Closest atoms and distances in Å follow each position.
Atoms (fractional coordinates):
Lu: 0.6936 0.6936 0.3871  4 Se 3.01
Se: 0.3262 0.3262 0.6524  4 Lu 3.01, 4 Ce 3.16
Ce: 0.9802 0.9802 0.9604  4 Se 3.16, 1 Lu 3.53

Calculated values
Formation energy from raw total energies, eV/atom: -0.8630
Crystal system: tetragonal
Distance to the lowest polymorph of the same formula, kJ/mol of atoms: 9.5
Symmetry: I4mm, No. 107

(7)
DFT (PBE) results for a relaxed structure of MnGa2Pd6.

Unit cell a=4.0901 b=4.6754 c=8.4670 alpha=69.26 beta=76.02 gamma=64.06
Closest atoms and distances in Å follow each position.
Atoms (fractional coordinates):
Mn: 0.0000 0.5000 0.5000  8 Pd 2.58-2.80
Ga: 0.3191 0.6246 0.7373  10 Pd 2.62-2.83
Ga: 0.6809 0.3754 0.2627  10 Pd 2.62-2.83
Pd: 0.6637 0.7287 0.9439  3 Ga 2.62-2.77, 9 Pd 2.69-2.91
Pd: 0.3363 0.2713 0.0561  3 Ga 2.62-2.77, 9 Pd 2.69-2.91
Pd: 0.0041 0.8120 0.1798  1 Mn 2.58, 3 Ga 2.64-2.70, 5 Pd 2.74-2.86
Pd: 0.3419 0.9135 0.4027  3 Mn 2.66-2.80, 4 Ga 2.67-2.83, 5 Pd 2.82-2.86
Pd: 0.9959 0.1880 0.8202  1 Mn 2.58, 3 Ga 2.64-2.70, 5 Pd 2.74-2.86
Pd: 0.6581 0.0865 0.5973  3 Mn 2.66-2.80, 4 Ga 2.67-2.83, 5 Pd 2.82-2.86

Calculated values
Formation energy from the elements, eV/atom: -0.443
Crystal system: monoclinic
Symmetry: C2/m, No. 12

(8)
DFT (PBE) results for a relaxed structure of MnCuGeAu.

Unit cell a=2.8793 b=3.9015 c=5.5911 alpha=90.00 beta=74.81 gamma=90.00
Closest atoms and distances in Å follow each position.
Atoms (fractional coordinates):
Mn: 0.4226 0.6158 0.1335  4 Ge 2.63-2.64, 3 Cu 2.87-2.92, 2 Mn 2.88, 4 Au 2.93-2.94
Cu: 0.1553 0.6161 0.6649  2 Ge 2.46, 4 Au 2.71-2.72
Ge: 0.0197 0.1159 0.9419  2 Cu 2.46, 4 Mn 2.63-2.64, 1 Au 2.68
Au: 0.7689 0.1159 0.4391  1 Ge 2.68, 4 Cu 2.71-2.72, 2 Au 2.88, 4 Mn 2.93-2.94

Calculated values
Formation energy from the elements, eV/atom: 0.018
Crystal system: monoclinic
Distance to the lowest polymorph of the same formula, kJ/mol of atoms: 0.0
Symmetry: Pm, No. 6

(9)
DFT (PBE) results for a relaxed structure of Sb2AuSe.

Unit cell a=5.7410 b=3.6482 c=4.6346 alpha=89.98 beta=90.00 gamma=90.00
Closest atoms and distances in Å follow each position.
Atoms (fractional coordinates):
Sb: 0.0000 0.8745 0.8753  2 Au 2.87, 4 Se 2.95
Sb: 0.5000 0.3759 0.3747  2 Se 2.87, 4 Au 2.95
Au: 0.5000 0.8757 0.8745  6 Sb 2.87-2.95
Se: 0.0000 0.3739 0.3755  6 Sb 2.87-2.95

Calculated values
Formation energy from raw total energies, eV/atom: -0.0768
Crystal system: orthorhombic
Symmetry: Pmm2, No. 25

(10)
DFT (PBE) results for a relaxed structure of Ca2SmZn9.

Unit cell a=5.5117 b=5.5117 c=9.1828 alpha=72.54 beta=72.54 gamma=60.00
Closest atoms and distances in Å follow each position.
Atoms (fractional coordinates):
Ca: 0.8577 0.8577 0.4269  12 Zn 3.17-3.24, 3 Ca 3.42
Ca: 0.1423 0.1423 0.5731  12 Zn 3.17-3.24, 3 Ca 3.42
Sm: 0.0000 0.0000 0.0000  18 Zn 3.18-3.47
Zn: 0.6649 0.6649 0.0053  6 Zn 2.62-2.66
Zn: 0.3351 0.3351 0.9947  6 Zn 2.62-2.66
Zn: 0.5000 0.5000 0.5000  6 Zn 2.73
Zn: 0.4153 0.4153 0.2447  7 Zn 2.62-2.81
Zn: 0.9248 0.4153 0.2447  7 Zn 2.62-2.81
Zn: 0.4153 0.9248 0.2447  7 Zn 2.62-2.81
Zn: 0.5847 0.5847 0.7553  7 Zn 2.62-2.81
Zn: 0.5847 0.0752 0.7553  7 Zn 2.62-2.81
Zn: 0.0752 0.5847 0.7553  7 Zn 2.62-2.81

Calculated values
Formation energy from the elements, eV/atom: -0.270
Crystal system: trigonal
Symmetry: R-3m, No. 166

(11)
DFT (PBE) results for a relaxed structure of PmScGe2.

Unit cell a=3.6839 b=3.6839 c=6.3674 alpha=90.00 beta=90.00 gamma=90.00
Closest atoms and distances in Å follow each position.
Atoms (fractional coordinates):
Sc: 0.5000 0.5000 0.5000  8 Ge 2.92, 2 Pm 3.18
Ge: 0.0000 0.0000 0.7059  1 Ge 2.62, 4 Sc 2.92
Ge: 0.0000 0.0000 0.2941  1 Ge 2.62, 4 Sc 2.92
Pm: 0.5000 0.5000 0.0000  2 Sc 3.18, 8 Ge 3.21

Calculated values
Formation energy from the elements, eV/atom: -0.651
Crystal system: tetragonal
Symmetry: P4/mmm, No. 123

(12)
DFT (PBE) results for a relaxed structure of TiGa2Br2Cl4.

Unit cell a=6.9580 b=7.0431 c=7.0431 alpha=58.96 beta=72.89 gamma=72.89
Closest atoms and distances in Å follow each position.
Atoms (fractional coordinates):
Ti: 0.5000 0.0000 0.0000  4 Cl 2.36, 2 Br 2.54
Ga: 0.2862 0.7475 0.7475  2 Cl 2.80, 1 Br 3.10
Ga: 0.7138 0.2525 0.2525  2 Cl 2.80, 1 Br 3.10
Br: 0.1858 0.1811 0.1811  1 Ti 2.54
Br: 0.8142 0.8189 0.8189  1 Ti 2.54
Cl: 0.3512 0.6776 0.1544  1 Ti 2.36
Cl: 0.6488 0.8456 0.3224  1 Ti 2.36
Cl: 0.6488 0.3224 0.8456  1 Ti 2.36
Cl: 0.3512 0.1544 0.6776  1 Ti 2.36

Calculated values
Formation energy from raw total energies, eV/atom: -1.0777
Crystal system: monoclinic
Symmetry: C2/m, No. 12